DFT (GGA-PBE) results for a relaxed BeAsAu3 crystal.

The structure in extended XYZ format:
```
5
Lattice="4.479 0.000 0.000 0.000 4.479 0.000 0.000 0.000 4.479" Properties=species:S:1:pos:R:3 pbc="T T T"
Be 0.000 0.000 0.000
As 2.239 2.239 2.239
Au 0.000 0.000 2.239
Au 0.000 2.239 0.000
Au 2.239 0.000 0.000
```

As for the magnetic moment: 0.00 μB per formula unit. Its formation energy is 307 meV per atom. Its uncorrected energy is -3.335 eV per atom.

---

DFT (GGA-PBE) results for a relaxed Rb2CrInBr6 crystal.

The structure in extended XYZ format:
```
10
Lattice="0.000 5.603 5.603 5.603 0.000 5.603 5.603 5.603 0.000" Properties=species:S:1:pos:R:3 pbc="T T T"
Rb 2.802 2.802 2.802
Rb 8.405 8.405 8.405
Cr 0.000 0.000 0.000
In 5.603 5.603 5.603
Br 5.603 5.603 2.546
Br 5.603 2.546 5.603
Br 8.660 5.603 5.603
Br 2.546 5.603 5.603
Br 5.603 8.660 5.603
Br 5.603 5.603 8.660
```

As for the magnetic moment: 3.00 μB per formula unit. For the formation energy without anion corrections, the calculation gives -1.14 eV/atom. Its uncorrected energy is -3.575 eV per atom.

---

DFT (GGA-PBE) results for a relaxed Mn2MoP crystal.

The structure in extended XYZ format:
```
4
Lattice="2.521 -3.572 0.000 2.521 3.572 0.000 0.000 0.000 2.917" Properties=species:S:1:pos:R:3 pbc="T T T"
Mn 1.261 1.786 0.000
Mn 1.261 -1.786 0.000
Mo 0.000 0.000 1.459
P 2.521 0.000 1.459
```

As for the magnetic moment: 4.13 μB per formula unit. Its formation energy is 14 meV per atom. Its uncorrected energy is -8.631 eV per atom.

---

DFT (GGA-PBE) results for a relaxed LaCeMg17 crystal.

The structure in extended XYZ format:
```
19
Lattice="5.154 2.975 5.084 -5.154 2.975 5.084 0.000 -5.951 5.084" Properties=species:S:1:pos:R:3 pbc="T T T"
La 0.000 0.000 0.000
Ce 0.000 0.000 10.123
Mg -1.556 -2.679 5.065
Mg -3.098 -0.008 5.065
Mg -2.622 -1.514 7.827
Mg 0.000 0.000 3.568
Mg 0.000 -2.982 7.602
Mg -2.583 1.491 7.602
Mg 1.556 -2.679 5.065
Mg -1.542 2.687 5.065
Mg 0.000 0.000 6.586
Mg -2.511 -1.450 12.473
Mg 3.098 -0.008 5.065
Mg 1.542 2.687 5.065
Mg 2.622 -1.514 7.827
Mg 0.000 3.027 7.827
Mg 2.583 1.491 7.602
Mg 2.511 -1.450 12.473
Mg 0.000 2.899 12.473
```

As for the magnetic moment: 1.16 μB per formula unit. Its formation energy is -45 meV per atom. Its uncorrected energy is -2.044 eV per atom.

---

Question: Which of these has the highest magnetic moment?
Answer: Mn2MoP

---

Question: Look up the magnetic moment of the fourth one.
Answer: 1.16 μB per formula unit

---

Question: Number 4 is which compound?
Answer: LaCeMg17